[1]
A relaxed structure of CaErTlPt. Source: Alexandria, functional GGA-PBE.

a = 5.1266 Å, b = 5.1266 Å, c = 5.1266 Å
α = 60.00°, β = 60.00°, γ = 60.00°
Element x y z (fractional)
Ca (0.0000, 0.0000, 0.0000)
Er (0.5000, 0.5000, 0.5000)
Tl (0.2500, 0.2500, 0.2500)
Pt (0.7500, 0.7500, 0.7500)

Results
Symmetry ... F-43m (216)
E_form ... -652 meV/atom

[2]
A relaxed structure of BaSb2Pb4. Source: Alexandria, functional GGA-PBE.

a = 5.4841 Å, b = 5.4841 Å, c = 10.0350 Å
α = 105.86°, β = 105.86°, γ = 59.86°
Element x y z (fractional)
Ba (0.0000, 0.0000, 0.0000)
Sb (0.2703, 0.2703, 0.8123)
Sb (0.7297, 0.7297, 0.1877)
Pb (0.1626, 0.1626, 0.4881)
Pb (0.4349, 0.4349, 0.3032)
Pb (0.5651, 0.5651, 0.6968)
Pb (0.8374, 0.8374, 0.5119)

Results
Symmetry ... C2/m (12)
Energy relative to the lowest polymorph listed for this composition ... 0.02 eV per formula unit
Uncorrected formation energy ... -0.243 eV per atom